1.
Material: CsRuSe
Method: DFT, PBE-GGA
State: relaxed

Values from the calculation:
E_form (uncorrected) (meV/atom): -375
Space group: P4/nmm (129)

Cell: 4.1497 4.1497 11.7626 Å, 90.00 90.00 90.00°
Fractional positions:
1 Se 0.5000 0.0000 0.6126
2 Se 0.0000 0.5000 0.3874
3 Ru 0.0000 0.0000 0.5000
4 Ru 0.5000 0.5000 0.5000
5 Cs 0.0000 0.5000 0.7895
6 Cs 0.5000 0.0000 0.2105

***

2.
Material: CsTi2RuSe
Method: DFT, PBE-GGA
State: relaxed

Values from the calculation:
E_form (uncorrected) (meV/atom): 1157
Space group: P4/mmm (123)

Cell: 4.7320 6.1306 4.7320 Å, 90.00 90.00 90.00°
Fractional positions:
1 Ti 0.5000 0.0000 0.0000
2 Ti 0.0000 0.0000 0.5000
3 Ru 0.5000 0.5000 0.5000
4 Se 0.0000 0.0000 0.0000
5 Cs 0.0000 0.5000 0.0000

***

3.
Material: CsTiRuSe2
Method: DFT, PBE-GGA
State: relaxed

Values from the calculation:
E_form (uncorrected) (meV/atom): 745
Space group: P4/mmm (123)

Cell: 5.0978 5.2373 5.0978 Å, 90.00 90.00 90.00°
Fractional positions:
1 Se 0.0000 0.0000 0.5000
2 Se 0.5000 0.0000 0.0000
3 Ti 0.5000 0.5000 0.5000
4 Ru 0.0000 0.0000 0.0000
5 Cs 0.0000 0.5000 0.0000

***

4.
Material: Cs3U3RuSe8
Method: DFT, PBE-GGA
State: relaxed

Values from the calculation:
E_form (uncorrected) (meV/atom): -1033
Space group: R-3m (166)

Cell: 8.0335 8.0313 9.8924 Å, 113.93 90.00 120.01°
Fractional positions:
1 Se 0.2514 0.0372 0.3229
2 Se 0.2142 0.9628 0.6771
3 Se 0.7311 0.4621 0.6933
4 Se 0.2689 0.5379 0.3067
5 Se 0.2142 0.4284 0.6770
6 Se 0.7858 0.5716 0.3230
7 Se 0.7858 0.0372 0.3229
8 Se 0.7486 0.9628 0.6771
9 Cs 0.5000 0.5000 0.0000
10 Cs 0.0000 0.0000 0.0000
11 Cs 0.0000 0.5000 0.0000
12 U 0.0000 0.5000 0.5000
13 U 0.5000 0.0000 0.5000
14 U 0.5000 0.5000 0.5000
15 Ru 0.0000 0.0000 0.5000

***

5.
Material: CsRuWSe2
Method: DFT, PBE-GGA
State: relaxed

Values from the calculation:
E_form (uncorrected) (meV/atom): 1349
Space group: P4/mmm (123)

Cell: 4.9155 6.0749 4.9155 Å, 90.00 90.00 90.00°
Fractional positions:
1 Se 0.5000 0.0000 0.0000
2 Se 0.0000 0.0000 0.5000
3 Cs 0.0000 0.5000 0.0000
4 W 0.0000 0.0000 0.0000
5 Ru 0.5000 0.5000 0.5000

***

6.
Material: CsSiRu3
Method: DFT, PBE-GGA
State: relaxed

Values from the calculation:
ΔE to the lowest computed polymorph (eV/atom): 1.899
E_form (uncorrected) (meV/atom): 3022
Space group: Pm-3m (221)

Cell: 4.9243 4.9243 4.9243 Å, 90.00 90.00 90.00°
Fractional positions:
1 Cs 0.0000 0.0000 0.0000
2 Ru 0.0000 0.5000 0.0000
3 Ru 0.5000 0.0000 0.0000
4 Ru 0.0000 0.0000 0.5000
5 Si 0.5000 0.5000 0.5000

***

7.
Material: CsSiRu3
Method: DFT, PBE-GGA
State: relaxed

Values from the calculation:
ΔE to the lowest computed polymorph (eV/atom): 0.000
E_form (uncorrected) (meV/atom): 1123
Space group: Pm-3m (221)

Cell: 4.6752 4.6752 4.6752 Å, 90.00 90.00 90.00°
Fractional positions:
1 Si 0.0000 0.0000 0.0000
2 Ru 0.0000 0.0000 0.5000
3 Ru 0.0000 0.5000 0.0000
4 Ru 0.5000 0.0000 0.0000
5 Cs 0.5000 0.5000 0.5000

***

8.
Material: CsYSi2Ru
Method: DFT, PBE-GGA
State: relaxed

Values from the calculation:
E_form (uncorrected) (meV/atom): 1944
Space group: P4/mmm (123)

Cell: 5.3293 4.9250 5.3293 Å, 90.00 90.00 90.00°
Fractional positions:
1 Si 0.5000 0.0000 0.0000
2 Si 0.0000 0.0000 0.5000
3 Y 0.5000 0.5000 0.5000
4 Ru 0.0000 0.5000 0.0000
5 Cs 0.0000 0.0000 0.0000

***

9.
Material: CsSnRu3
Method: DFT, PBE-GGA
State: relaxed

Values from the calculation:
Formation energy from the elements (eV/f.u.): 13.1
ΔE to the lowest computed polymorph (eV/atom): 0.962
Space group: Pm-3m (221)

Cell: 4.9621 4.9621 4.9621 Å, 90.00 90.00 90.00°
Fractional positions:
1 Ru 0.0000 0.5000 0.0000
2 Ru 0.5000 0.0000 0.0000
3 Ru 0.0000 0.0000 0.5000
4 Sn 0.5000 0.5000 0.5000
5 Cs 0.0000 0.0000 0.0000

***

10.
Material: CsSnRu3
Method: DFT, PBE-GGA
State: relaxed

Values from the calculation:
Formation energy from the elements (eV/f.u.): 8.3
ΔE to the lowest computed polymorph (eV/atom): 0.000
Space group: Pm-3m (221)

Cell: 5.0504 5.0504 5.0504 Å, 90.00 90.00 90.00°
Fractional positions:
1 Ru 0.0000 0.0000 0.5000
2 Ru 0.0000 0.5000 0.0000
3 Ru 0.5000 0.0000 0.0000
4 Sn 0.0000 0.0000 0.0000
5 Cs 0.5000 0.5000 0.5000

***

11.
Material: CsSn2Ru2
Method: DFT, PBE-GGA
State: relaxed

Values from the calculation:
Formation energy from the elements (eV/f.u.): 1.1
Space group: I4/mmm (139)

Cell: 4.6703 4.6703 7.4668 Å, 71.78 71.78 90.00°
Fractional positions:
1 Cs 0.0000 0.0000 0.0000
2 Sn 0.6639 0.6639 0.6722
3 Sn 0.3361 0.3361 0.3278
4 Ru 0.7500 0.2500 0.5000
5 Ru 0.2500 0.7500 0.5000

***

12.
Material: CsSnRu
Method: DFT, PBE-GGA
State: relaxed

Values from the calculation:
Formation energy from the elements (eV/f.u.): 0.4
Space group: P-1 (2)

Cell: 4.2439 3.9912 14.3265 Å, 112.04 88.82 89.98°
Fractional positions:
1 Cs 0.2715 0.4204 0.6941
2 Cs 0.7285 0.5796 0.3059
3 Ru 0.2503 0.1683 0.9942
4 Ru 0.7497 0.8317 0.0058
5 Sn 0.2412 0.8341 0.1294
6 Sn 0.7588 0.1659 0.8706